1.
# Cu2OsCl PBE-GGA relaxed
# raw formation energy	0.827	eV per atom
# V	113.0	Å³/cell
# energy above the lowest structure with this stoichiometry	1.87	eV per formula unit
data_Cu2OsCl
_cell_length_a 2.761
_cell_length_b 4.493
_cell_length_c 9.112
_cell_angle_alpha 90.00
_cell_angle_beta 90.00
_cell_angle_gamma 90.00
_space_group_name_H-M_alt 'I m m m'
_space_group_IT_number 71
_space_group_name_Hall '-I 2 2'
loop_
_atom_site_label
_atom_site_type_symbol
_atom_site_fract_x
_atom_site_fract_y
_atom_site_fract_z
Cu1 Cu 0.000 0.000 0.247
Os1 Os 0.000 0.500 0.500
Cl1 Cl 0.000 0.500 0.000

***

2.
# CuOsCl PBE-GGA relaxed
# raw formation energy	1.327	eV per atom
# V	202.6	Å³/cell
# energy above the lowest structure with this stoichiometry	1.90	eV per formula unit
data_CuOsCl
_cell_length_a 5.874
_cell_length_b 5.874
_cell_length_c 5.874
_cell_angle_alpha 90.00
_cell_angle_beta 90.00
_cell_angle_gamma 90.00
_space_group_name_H-M_alt 'F -4 3 m'
_space_group_IT_number 216
_space_group_name_Hall 'F -4 2 3'
loop_
_atom_site_label
_atom_site_type_symbol
_atom_site_fract_x
_atom_site_fract_y
_atom_site_fract_z
Cu1 Cu 0.000 0.000 0.000
Os1 Os 0.250 0.250 0.750
Cl1 Cl 0.000 0.000 0.500

***

3.
# Cu2OsCl PBE-GGA relaxed
# raw formation energy	0.548	eV per atom
# V	168.3	Å³/cell
# energy above the lowest structure with this stoichiometry	0.76	eV per formula unit
data_Cu2OsCl
_cell_length_a 2.8265
_cell_length_b 2.8265
_cell_length_c 24.3266
_cell_angle_alpha 90.00
_cell_angle_beta 90.00
_cell_angle_gamma 120.00
_space_group_name_H-M_alt 'R 3 m'
_space_group_IT_number 160
_space_group_name_Hall 'R 3 -2"'
loop_
_atom_site_label
_atom_site_type_symbol
_atom_site_fract_x
_atom_site_fract_y
_atom_site_fract_z
Cu1 Cu 0.0000 0.0000 0.0000
Cu2 Cu 0.0000 0.0000 0.2547
Os1 Os 0.0000 0.0000 0.7502
Cl1 Cl 0.0000 0.0000 0.5030

***

4.
# CuOsCl6 PBE-GGA relaxed
# raw formation energy	-0.387	eV per atom
# V	533.3	Å³/cell
# energy above the lowest structure with this stoichiometry	0.34	eV per formula unit
data_CuOsCl6
_cell_length_a 6.1149
_cell_length_b 6.1149
_cell_length_c 16.4675
_cell_angle_alpha 90.00
_cell_angle_beta 90.00
_cell_angle_gamma 120.00
_space_group_name_H-M_alt 'R -3'
_space_group_IT_number 148
_space_group_name_Hall '-R 3'
loop_
_atom_site_label
_atom_site_type_symbol
_atom_site_fract_x
_atom_site_fract_y
_atom_site_fract_z
Cu1 Cu 0.0000 0.0000 0.0000
Os1 Os 0.0000 0.0000 0.5000
Cl1 Cl 0.0096 0.6919 0.5815